Record 1
This record from OQMD describes crystalline Pr2HgGe2 at its relaxed geometry. The functional is GGA-PBE.

a b c (Å): 7.6280 7.6280 8.6660
angles (deg): 90.00 90.00 90.00
Space group P4/mnc (No. 128)
One atom of each set of equivalent atoms:
1 Pr 0.1809 0.3193 0.0000 [8 per cell]
2 Hg 0.0000 0.0000 0.2496 [4 per cell]
3 Ge 0.1179 0.6179 0.2500 [8 per cell]

Properties
ρ in Mg/m³: 8.27
Total energy in eV/atom: -4.518
Magnetic moment in μB per formula unit: 0.002

Record 2
This record from OQMD describes crystalline HgGePt2 at its relaxed geometry. The functional is GGA-PBE.

a b c (Å): 6.5684 6.5684 6.5684
angles (deg): 90.00 90.00 90.00
Space group F-43m (No. 216)
One atom of each set of equivalent atoms:
1 Hg 0.0000 0.0000 0.0000 [4 per cell]
2 Ge 0.2500 0.2500 0.7500 [4 per cell]
3 Pt 0.0000 0.0000 0.5000 [4 per cell]
4 Pt 0.2500 0.2500 0.2500 [4 per cell]

Properties
ρ in Mg/m³: 15.55
Total energy in eV/atom: -4.154
Magnetic moment in μB per formula unit: 0.009

Record 3
This record from OQMD describes crystalline RbHgGe at its relaxed geometry. The functional is GGA-PBE.

a b c (Å): 7.8989 7.8989 7.8989
angles (deg): 90.00 90.00 90.00
Space group F-43m (No. 216)
One atom of each set of equivalent atoms:
1 Rb 0.0000 0.0000 0.0000 [4 per cell]
2 Hg 0.2500 0.2500 0.2500 [4 per cell]
3 Ge 0.2500 0.2500 0.7500 [4 per cell]

Properties
ρ in Mg/m³: 4.83
E above lowest polymorph in eV per atom: 0.3701
Total energy in eV/atom: -1.293

Record 4
This record from OQMD describes crystalline RbHgGe at its relaxed geometry. The functional is GGA-PBE.

a b c (Å): 7.5058 7.5058 7.5058
angles (deg): 90.00 90.00 90.00
Space group F-43m (No. 216)
One atom of each set of equivalent atoms:
1 Rb 0.0000 0.0000 0.0000 [4 per cell]
2 Hg 0.2500 0.2500 0.7500 [4 per cell]
3 Ge 0.0000 0.0000 0.5000 [4 per cell]

Properties
ρ in Mg/m³: 5.63
E above lowest polymorph in eV per atom: 0.0004
Total energy in eV/atom: -1.663

Record 5
This record from OQMD describes crystalline RbHgGe at its relaxed geometry. The functional is GGA-PBE.

a b c (Å): 7.4749 7.4749 7.4749
angles (deg): 90.00 90.00 90.00
Space group F-43m (No. 216)
One atom of each set of equivalent atoms:
1 Rb 0.0000 0.0000 0.0000 [4 per cell]
2 Hg 0.0000 0.0000 0.5000 [4 per cell]
3 Ge 0.2500 0.2500 0.7500 [4 per cell]

Properties
ρ in Mg/m³: 5.70
E above lowest polymorph in eV per atom: 0.0000
Total energy in eV/atom: -1.664

Record 6
This record from OQMD describes crystalline RbHg3GeS4 at its relaxed geometry. The functional is GGA-PBE.

a b c (Å): 7.0328 7.6126 9.9619
angles (deg): 90.00 99.24 90.00
Space group P2_1/m (No. 11)
One atom of each set of equivalent atoms:
1 Rb 0.1848 0.2500 0.1230 [2 per cell]
2 Hg 0.2256 0.5561 0.5089 [4 per cell]
3 Hg 0.4654 0.2500 0.7444 [2 per cell]
4 Ge 0.0197 0.7500 0.2821 [2 per cell]
5 S 0.1864 0.0181 0.7764 [4 per cell]
6 S 0.2127 0.7500 0.1207 [2 per cell]
7 S 0.3934 0.2500 0.4730 [2 per cell]

Properties
ρ in Mg/m³: 5.60
E above lowest polymorph in eV per atom: 0.0000
Total energy in eV/atom: -2.829